No. 1
DFT (PBE) results for crystalline LaNdAs2Pd2 at its relaxed geometry.

Computed properties:
- DFT total energy (eV per atom) = -6.119

a b c (Å): 4.3972 4.3972 7.9304
angles (deg): 90.00 90.00 120.00
Last column: nearest neighbours and their distance in Å.
Element x y z (fractional)
1 La 0.0000 0.0000 0.0000  6 As 3.24, 6 Pd 3.25
2 Nd 0.0000 0.0000 0.5000  6 Pd 3.19, 6 As 3.20
3 As 0.3333 0.6667 0.2542  3 Pd 2.54
4 As 0.6667 0.3333 0.7458  3 Pd 2.54
5 Pd 0.3333 0.6667 0.7443  3 As 2.54
6 Pd 0.6667 0.3333 0.2557  3 As 2.54

No. 2
DFT (PBE) results for crystalline LaNdAs2Pt2 at its relaxed geometry.

Computed properties:
- DFT total energy (eV per atom) = -6.469

a b c (Å): 4.3717 4.3717 16.0229
angles (deg): 90.00 90.00 120.00
Last column: nearest neighbours and their distance in Å.
Element x y z (fractional)
1 La 0.0000 0.0000 0.0000  6 As 3.18, 6 Pt 3.31
2 La 0.0000 0.0000 0.5000  6 As 3.18, 6 Pt 3.31
3 Nd 0.0000 0.0000 0.2500  6 Pt 3.14, 6 As 3.27
4 Nd 0.0000 0.0000 0.7500  6 Pt 3.14, 6 As 3.27
5 As 0.3333 0.6667 0.1207  3 Pt 2.53
6 As 0.3333 0.6667 0.3793  3 Pt 2.53
7 As 0.6667 0.3333 0.6207  3 Pt 2.53
8 As 0.6667 0.3333 0.8793  3 Pt 2.53
9 Pt 0.3333 0.6667 0.6338  3 As 2.53
10 Pt 0.3333 0.6667 0.8662  3 As 2.53
11 Pt 0.6667 0.3333 0.1338  3 As 2.53
12 Pt 0.6667 0.3333 0.3662  3 As 2.53

No. 3
DFT (PBE) results for crystalline LaNd2Ta2As6 at its relaxed geometry.

Computed properties:
- DFT total energy (eV per atom) = -6.813

a b c (Å): 12.4461 12.4461 12.4461
angles (deg): 157.28 157.28 32.35
Last column: nearest neighbours and their distance in Å.
Element x y z (fractional)
1 La 0.0000 0.0000 0.0000  8 As 3.14
2 Nd 0.1651 0.1651 0.0000  5 As 2.98-3.15
3 Nd 0.8349 0.8349 0.0000  5 As 2.98-3.15
4 Ta 0.3899 0.3899 0.0000  5 As 2.40-2.54
5 Ta 0.6101 0.6101 0.0000  5 As 2.40-2.54
6 As 0.0823 0.5823 0.5000  2 Ta 2.54
7 As 0.2896 0.2896 0.0000  1 Ta 2.40
8 As 0.4177 0.9177 0.5000  2 Ta 2.54
9 As 0.5823 0.0823 0.5000  2 Ta 2.54
10 As 0.7104 0.7104 0.0000  1 Ta 2.40
11 As 0.9177 0.4177 0.5000  2 Ta 2.54

No. 4
DFT (PBE) results for crystalline La3Ni4As4 at its relaxed geometry.

Computed properties:
- DFT total energy (eV per atom) = -6.042

a b c (Å): 12.4070 12.4070 12.4070
angles (deg): 160.71 160.59 27.49
Last column: nearest neighbours and their distance in Å.
Element x y z (fractional)
1 La 0.0000 0.0000 0.0000  4 Ni 3.14, 8 As 3.23
2 La 0.1519 0.6519 0.5000  8 Ni 3.13-3.23, 6 As 3.14
3 La 0.8481 0.3481 0.5000  8 Ni 3.13-3.23, 6 As 3.14
4 Ni 0.2493 0.2493 0.0000  4 As 2.44-2.45
5 Ni 0.4027 0.9027 0.5000  3 As 2.32-2.40
6 Ni 0.5973 0.0973 0.5000  3 As 2.32-2.40
7 Ni 0.7507 0.7507 0.0000  4 As 2.44-2.45
8 As 0.3030 0.8030 0.5000  5 Ni 2.40-2.45
9 As 0.4454 0.4454 0.0000  2 Ni 2.32
10 As 0.5546 0.5546 0.0000  2 Ni 2.32
11 As 0.6970 0.1970 0.5000  5 Ni 2.40-2.45

No. 5
DFT (PBE) results for crystalline LaNiAs at its relaxed geometry.

Computed properties:
- DFT total energy (eV per atom) = -6.143

a b c (Å): 4.1749 4.1749 8.1935
angles (deg): 90.00 90.00 120.00
Last column: nearest neighbours and their distance in Å.
Element x y z (fractional)
1 La 0.0000 0.0000 0.0000  6 Ni 3.16, 6 As 3.16
2 La 0.0000 0.0000 0.5000  6 As 3.16, 6 Ni 3.16
3 Ni 0.3333 0.6667 0.2500  3 As 2.41
4 Ni 0.6667 0.3333 0.7500  3 As 2.41
5 As 0.3333 0.6667 0.7500  3 Ni 2.41
6 As 0.6667 0.3333 0.2500  3 Ni 2.41

No. 6
DFT (PBE) results for crystalline LaNi2AsP at its relaxed geometry.

Computed properties:
- DFT total energy (eV per atom) = -6.161

a b c (Å): 4.1538 4.1538 9.3557
angles (deg): 90.00 90.00 90.00
Last column: nearest neighbours and their distance in Å.
Element x y z (fractional)
1 La 0.2500 0.2500 0.2406  8 Ni 3.06-3.18, 5 P 3.13-3.41, 4 As 3.19
2 La 0.7500 0.7500 0.7594  8 Ni 3.06-3.18, 5 P 3.13-3.41, 4 As 3.19
3 Ni 0.2500 0.2500 0.6285  1 P 2.31, 4 As 2.40
4 Ni 0.2500 0.7500 0.0000  4 P 2.38
5 Ni 0.7500 0.2500 0.0000  4 P 2.38
6 Ni 0.7500 0.7500 0.3715  1 P 2.31, 4 As 2.40
7 As 0.2500 0.7500 0.5000  4 Ni 2.40
8 As 0.7500 0.2500 0.5000  4 Ni 2.40
9 P 0.2500 0.2500 0.8757  5 Ni 2.31-2.38
10 P 0.7500 0.7500 0.1243  5 Ni 2.31-2.38

No. 7
DFT (PBE) results for crystalline La2Ni2AsP at its relaxed geometry.

Computed properties:
- DFT total energy (eV per atom) = -6.310

a b c (Å): 4.0994 4.0994 8.1917
angles (deg): 90.00 90.00 120.00
Last column: nearest neighbours and their distance in Å.
Element x y z (fractional)
1 La 0.0000 0.0000 0.2440  6 Ni 3.10-3.16, 3 P 3.10, 3 As 3.16
2 La 0.0000 0.0000 0.7560  3 P 3.10, 6 Ni 3.10-3.16, 3 As 3.16
3 Ni 0.3333 0.6667 0.5000  3 As 2.37
4 Ni 0.6667 0.3333 0.0000  3 P 2.37
5 As 0.6667 0.3333 0.5000  3 Ni 2.37
6 P 0.3333 0.6667 0.0000  3 Ni 2.37

No. 8
DFT (PBE) results for crystalline La2NiAs2Pd at its relaxed geometry.

Computed properties:
- DFT total energy (eV per atom) = -6.145

a b c (Å): 4.3179 4.3179 8.0672
angles (deg): 90.00 90.00 120.00
Last column: nearest neighbours and their distance in Å.
Element x y z (fractional)
1 La 0.0000 0.0000 0.2466  6 As 3.19-3.22, 3 Ni 3.19, 3 Pd 3.22
2 La 0.0000 0.0000 0.7534  6 As 3.19-3.22, 3 Ni 3.19, 3 Pd 3.22
3 Ni 0.6667 0.3333 0.0000  3 As 2.49
4 As 0.3333 0.6667 0.0000  3 Ni 2.49
5 As 0.6667 0.3333 0.5000  3 Pd 2.49
6 Pd 0.3333 0.6667 0.5000  3 As 2.49

- The lowest DFT total energy belongs to which entry?
  LaNd2Ta2As6

- Number 4 is which compound?
  La3Ni4As4

- DFT total energy of number 7 (La2Ni2AsP)?
  -6.310 eV per atom

- Among the records above, which one has the highest DFT total energy?
  La3Ni4As4